Record 1
Mn7Ni8Sn | GGA-PBEsol | optimized geometry

Structure (POSCAR):
```
Mn7Ni8Sn
1.0
2.041 1.178 13.481
-2.041 1.178 13.481
0.000 -2.357 13.481
Mn Ni Sn
7 8 1
direct
0.000 0.000 0.000
0.123 0.123 0.123
0.252 0.252 0.252
0.374 0.374 0.374
0.626 0.626 0.626
0.748 0.748 0.748
0.877 0.877 0.877
0.062 0.062 0.062
0.192 0.192 0.192
0.313 0.313 0.313
0.435 0.435 0.435
0.565 0.565 0.565
0.687 0.687 0.687
0.808 0.808 0.808
0.938 0.938 0.938
0.500 0.500 0.500
```

Calculated values
Fermi-level density of states	11.220	states/eV per cell
ΔH_f (0 K)	0.03	eV per atom
calculated total energy	-121.32	eV/f.u.



Record 2
FeTcW | GGA-PBEsol | optimized geometry

Structure (POSCAR):
```
FeTcW
1.0
0.000 2.817 2.817
2.817 0.000 2.817
2.817 2.817 0.000
Fe Tc W
1 1 1
direct
0.000 0.000 0.000
0.750 0.750 0.750
0.250 0.250 0.250
```

Calculated values
Fermi-level density of states	3.066	states/eV per cell
ΔH_f (0 K)	0.65	eV per atom
calculated total energy	-32.08	eV/f.u.



Record 3
Ag2PIrN | GGA-PBEsol | optimized geometry

Structure (POSCAR):
```
Ag2PIrN
1.0
4.822 0.000 0.000
0.000 4.822 0.000
0.000 0.000 3.180
Ag P Ir N
2 1 1 1
direct
0.000 0.500 0.000
0.500 0.000 0.000
0.000 0.000 0.000
0.500 0.500 0.500
0.000 0.000 0.500
```

Calculated values
Fermi-level density of states	4.422	states/eV per cell
uncorrected formation energy	1.04	eV per atom
calculated total energy	-25.59	eV/f.u.



Record 4
SrTl2Br | GGA-PBEsol | optimized geometry

Structure (POSCAR):
```
SrTl2Br
1.0
2.153 -3.148 0.000
2.153 3.148 0.000
0.000 0.000 9.643
Sr Tl Br
1 2 1
direct
0.000 0.000 0.000
0.500 0.500 0.273
0.500 0.500 0.727
0.000 0.000 0.500
```

Calculated values
Fermi-level density of states	2.071	states/eV per cell
uncorrected formation energy	-0.28	eV per atom
calculated total energy	-10.10	eV/f.u.
energy relative to the lowest polymorph listed for this composition	397.2	meV/atom



Record 5
LiZn2Ag | GGA-PBEsol | optimized geometry

Structure (POSCAR):
```
LiZn2Ag
1.0
-1.848 1.973 3.913
1.848 -1.973 3.913
1.848 1.973 -3.913
Li Zn Ag
1 2 1
direct
0.000 0.000 0.000
0.248 0.748 0.500
0.752 0.252 0.500
0.500 0.500 0.000
```

Calculated values
Fermi-level density of states	1.107	states/eV per cell
ΔH_f (0 K)	-0.18	eV per atom
calculated total energy	-9.16	eV/f.u.



Record 6
CrNi | GGA-PBEsol | optimized geometry

Structure (POSCAR):
```
CrNi
1.0
4.631 -1.199 0.000
4.631 1.199 0.000
-1.459 0.000 5.758
Cr Ni
3 3
direct
0.000 0.000 0.000
0.061 0.061 0.623
0.675 0.675 0.333
0.337 0.337 0.668
0.397 0.397 0.288
0.728 0.728 0.950
```

Calculated values
Fermi-level density of states	5.053	states/eV per cell
ΔH_f (0 K)	0.05	eV per atom
calculated total energy	-16.31	eV/f.u.



Record 7
Rb2U6Pt4Se17 | GGA-PBEsol | optimized geometry

Structure (POSCAR):
```
Rb2U6Pt4Se17
1.0
10.466 0.000 0.000
0.000 10.466 0.000
0.000 0.000 13.017
Rb U Pt Se
4 12 8 34
direct
0.000 0.000 0.225
0.000 0.000 0.775
0.500 0.500 0.275
0.500 0.500 0.725
0.000 0.500 0.250
0.000 0.500 0.750
0.116 0.244 0.500
0.244 0.884 0.500
0.256 0.384 0.000
0.384 0.744 0.000
0.500 0.000 0.250
0.500 0.000 0.750
0.616 0.256 0.000
0.744 0.616 0.000
0.756 0.116 0.500
0.884 0.756 0.500
0.065 0.632 0.000
0.132 0.565 0.500
0.368 0.065 0.000
0.435 0.132 0.500
0.565 0.868 0.500
0.632 0.935 0.000
0.868 0.435 0.500
0.935 0.368 0.000
0.000 0.000 0.500
0.079 0.283 0.134
0.079 0.283 0.866
0.094 0.726 0.363
0.094 0.726 0.637
0.217 0.421 0.366
0.217 0.421 0.634
0.226 0.594 0.137
0.226 0.594 0.863
0.274 0.094 0.363
0.274 0.094 0.637
0.283 0.921 0.134
0.283 0.921 0.866
0.406 0.226 0.137
0.406 0.226 0.863
0.421 0.783 0.366
0.421 0.783 0.634
0.500 0.500 0.000
0.579 0.217 0.366
0.579 0.217 0.634
0.594 0.774 0.137
0.594 0.774 0.863
0.717 0.079 0.134
0.717 0.079 0.866
0.726 0.906 0.363
0.726 0.906 0.637
0.774 0.406 0.137
0.774 0.406 0.863
0.783 0.579 0.366
0.783 0.579 0.634
0.906 0.274 0.363
0.906 0.274 0.637
0.921 0.717 0.134
0.921 0.717 0.866
```

Calculated values
Fermi-level density of states	75.764	states/eV per cell
uncorrected formation energy	-0.92	eV per atom
calculated total energy	-195.12	eV/f.u.



Record 8
CeMg2Cu | GGA-PBEsol | optimized geometry

Structure (POSCAR):
```
CeMg2Cu
1.0
0.000 3.448 3.448
3.448 0.000 3.448
3.448 3.448 0.000
Ce Mg Cu
1 2 1
direct
0.000 0.000 0.000
0.250 0.250 0.250
0.750 0.750 0.750
0.500 0.500 0.500
```

Calculated values
Fermi-level density of states	6.527	states/eV per cell
ΔH_f (0 K)	0.21	eV per atom
calculated total energy	-13.54	eV/f.u.



Record 9
HfMgBeP2 | GGA-PBEsol | optimized geometry

Structure (POSCAR):
```
HfMgBeP2
1.0
4.369 0.000 0.000
0.000 4.369 0.000
0.000 0.000 4.147
Hf Mg Be P
1 1 1 2
direct
0.000 0.000 0.000
0.500 0.500 0.000
0.500 0.500 0.500
0.000 0.500 0.500
0.500 0.000 0.500
```

Calculated values
Fermi-level density of states	2.548	states/eV per cell
ΔH_f (0 K)	0.38	eV per atom
calculated total energy	-25.89	eV/f.u.



Record 10
Ir4Pt | GGA-PBEsol | optimized geometry

Structure (POSCAR):
```
Ir4Pt
1.0
-3.041 3.041 1.923
3.041 -3.041 1.923
3.041 3.041 -1.923
Ir Pt
4 1
direct
0.098 0.698 0.796
0.302 0.098 0.400
0.698 0.902 0.600
0.902 0.302 0.204
0.500 0.500 0.000
```

Calculated values
Fermi-level density of states	4.946	states/eV per cell
ΔH_f (0 K)	0.05	eV per atom
calculated total energy	-46.02	eV/f.u.



Record 11
Li2LaZrNb | GGA-PBEsol | optimized geometry

Structure (POSCAR):
```
Li2LaZrNb
1.0
5.072 0.000 0.000
0.000 5.072 0.000
0.000 0.000 4.820
Li La Zr Nb
2 1 1 1
direct
0.000 0.500 0.000
0.500 0.000 0.000
0.000 0.000 0.500
0.500 0.500 0.000
0.500 0.500 0.500
```

Calculated values
Fermi-level density of states	4.395	states/eV per cell
ΔH_f (0 K)	0.84	eV per atom
calculated total energy	-24.97	eV/f.u.



Record 12
SrPb2Au2 | GGA-PBEsol | optimized geometry

Structure (POSCAR):
```
SrPb2Au2
1.0
-2.291 2.291 6.335
2.291 -2.291 6.335
2.291 2.291 -6.335
Sr Pb Au
1 2 2
direct
0.000 0.000 0.000
0.250 0.750 0.500
0.750 0.250 0.500
0.396 0.396 0.000
0.604 0.604 0.000
```

Calculated values
Fermi-level density of states	2.326	states/eV per cell
ΔH_f (0 K)	-0.39	eV per atom
calculated total energy	-19.64	eV/f.u.



Record 13
TaCr2Tc | GGA-PBEsol | optimized geometry

Structure (POSCAR):
```
TaCr2Tc
1.0
-1.500 2.130 4.229
1.500 -2.130 4.229
1.500 2.130 -4.229
Ta Cr Tc
1 2 1
direct
0.000 0.000 0.000
0.506 0.506 0.000
0.745 0.245 0.500
0.258 0.758 0.500
```

Calculated values
Fermi-level density of states	2.923	states/eV per cell
ΔH_f (0 K)	-0.02	eV per atom
calculated total energy	-44.37	eV/f.u.
energy relative to the lowest polymorph listed for this composition	0.0	meV/atom



Record 14
Sc2IrRh | GGA-PBEsol | optimized geometry

Structure (POSCAR):
```
Sc2IrRh
1.0
-1.833 1.937 4.623
1.833 -1.937 4.623
1.833 1.937 -4.623
Sc Ir Rh
2 1 1
direct
0.000 0.000 0.000
0.746 0.246 0.500
0.247 0.747 0.500
0.498 0.498 0.000
```

Calculated values
Fermi-level density of states	2.423	states/eV per cell
ΔH_f (0 K)	-0.74	eV per atom
calculated total energy	-34.15	eV/f.u.
energy relative to the lowest polymorph listed for this composition	271.4	meV/atom



Record 15
YTa3Ir | GGA-PBEsol | optimized geometry

Structure (POSCAR):
```
YTa3Ir
1.0
4.872 0.000 0.000
0.000 4.872 0.000
0.000 0.000 4.872
Y Ta Ir
1 3 1
direct
0.000 0.000 0.000
0.000 0.500 0.500
0.500 0.000 0.500
0.500 0.500 0.000
0.500 0.500 0.500
```

Calculated values
Fermi-level density of states	5.715	states/eV per cell
ΔH_f (0 K)	0.77	eV per atom
calculated total energy	-50.43	eV/f.u.



Record 16
TcOs3 | GGA-PBEsol | optimized geometry

Structure (POSCAR):
```
TcOs3
1.0
5.433 0.000 0.000
0.000 13.116 0.000
0.000 0.000 4.708
Tc Os
6 18
direct
0.250 0.088 0.167
0.250 0.412 0.167
0.250 0.750 0.502
0.750 0.250 0.498
0.750 0.588 0.833
0.750 0.912 0.833
0.000 0.250 0.999
0.000 0.750 0.001
0.001 0.586 0.336
0.001 0.914 0.336
0.250 0.250 0.499
0.250 0.586 0.834
0.250 0.914 0.834
0.499 0.586 0.336
0.499 0.914 0.336
0.500 0.250 0.999
0.500 0.750 0.001
0.501 0.086 0.664
0.501 0.414 0.664
0.750 0.086 0.166
0.750 0.414 0.166
0.750 0.750 0.501
0.999 0.086 0.664
0.999 0.414 0.664
```

Calculated values
Fermi-level density of states	18.575	states/eV per cell
ΔH_f (0 K)	0.02	eV per atom
calculated total energy	-47.84	eV/f.u.
energy relative to the lowest polymorph listed for this composition	89.4	meV/atom



Record 17
BPt3Br | GGA-PBEsol | optimized geometry

Structure (POSCAR):
```
BPt3Br
1.0
4.234 0.000 0.000
0.000 4.234 0.000
0.000 0.000 4.234
B Pt Br
1 3 1
direct
0.000 0.000 0.000
0.000 0.000 0.500
0.000 0.500 0.000
0.500 0.000 0.000
0.500 0.500 0.500
```

Calculated values
Fermi-level density of states	1.744	states/eV per cell
uncorrected formation energy	0.35	eV per atom
calculated total energy	-28.01	eV/f.u.



Record 18
ReSb3N | GGA-PBEsol | optimized geometry

Structure (POSCAR):
```
ReSb3N
1.0
4.490 0.000 0.000
0.000 4.490 0.000
0.000 0.000 4.490
Re Sb N
1 3 1
direct
0.000 0.000 0.000
0.000 0.500 0.500
0.500 0.000 0.500
0.500 0.500 0.000
0.500 0.500 0.500
```

Calculated values
Fermi-level density of states	4.333	states/eV per cell
uncorrected formation energy	0.99	eV per atom
calculated total energy	-30.59	eV/f.u.
energy relative to the lowest polymorph listed for this composition	0.0	meV/atom



Record 19
AlNi2Te | GGA-PBEsol | optimized geometry

Structure (POSCAR):
```
AlNi2Te
1.0
3.436 0.000 0.000
0.000 3.436 0.000
0.000 0.000 5.007
Al Ni Te
1 2 1
direct
0.000 0.000 0.000
0.000 0.000 0.474
0.500 0.500 0.157
0.500 0.500 0.652
```

Calculated values
Fermi-level density of states	2.178	states/eV per cell
uncorrected formation energy	-0.14	eV per atom
calculated total energy	-20.50	eV/f.u.



Record 20
SiMoRu4 | GGA-PBEsol | optimized geometry

Structure (POSCAR):
```
SiMoRu4
1.0
0.000 3.508 3.508
3.508 0.000 3.508
3.508 3.508 0.000
Si Mo Ru
1 1 4
direct
0.000 0.000 0.000
0.750 0.750 0.750
0.375 0.375 0.375
0.375 0.375 0.876
0.375 0.876 0.375
0.876 0.375 0.375
```

Calculated values
Fermi-level density of states	7.638	states/eV per cell
uncorrected formation energy	0.48	eV per atom
calculated total energy	-55.31	eV/f.u.